The following is a DFT calculation (GGA-PBE) of crystalline PrLu3Pt at its relaxed geometry.

Properties
calculated volume	156.42	Å³/cell
calculated formation energy	-0.4440	eV per atom
size of the total moment	0.004	μB per cell
ρ	9.14	g/cm³
final energy	-5.32	eV/atom
density of states at the Fermi level	1.2123	states/eV/atom

Lattice parameters (Å, degrees): 5.388 5.388 5.388 90.00 90.00 90.00
Positions (direct):
Lu: 0.000 0.500 0.000
Pr: 0.500 0.500 0.500
Pt: 0.000 0.000 0.000
Lu: 0.000 0.000 0.500
Lu: 0.500 0.000 0.000

=====

The following is a DFT calculation (GGA-PBE) of crystalline Rb2VI6Br at its relaxed geometry.

Properties
calculated volume	453.47	Å³/cell
size of the total moment	0.683	μB per cell
ΔE_f (raw)	-0.65	eV per atom
ρ	3.89	g/cm³
final energy	-2.86	eV/atom
density of states at the Fermi level	1.5944	states/eV/atom

Lattice parameters (Å, degrees): 8.450 8.450 8.720 61.02 61.02 90.00
Last column: magnetic moment on the atom in μB.
Positions (direct):
I: 0.714 0.714 0.573  -0.03
Rb: 0.750 0.250 0.500  0.00
I: 0.286 0.286 0.427  -0.03
I: 0.730 0.730 0.000  -0.04
I: 0.730 0.270 0.000  -0.04
I: 0.270 0.270 0.000  -0.04
V: 0.500 0.500 0.000  0.99
Br: 0.000 0.000 0.000  -0.09
I: 0.270 0.730 0.000  -0.04
Rb: 0.250 0.750 0.500  0.00

=====

The following is a DFT calculation (GGA-PBE) of crystalline Cs3TlPb2Br9 at its relaxed geometry.

Properties
calculated volume	635.13	Å³/cell
size of the total moment	0.000	μB per cell
ΔE_f (raw)	-1.22	eV per atom
ρ	4.54	g/cm³
final energy	-3.04	eV/atom
density of states at the Fermi level	0.2569	states/eV/atom

Lattice parameters (Å, degrees): 8.424 8.424 10.334 90.00 90.00 120.00
Positions (direct):
Br: 0.833 0.167 0.670
Tl: 0.000 0.000 0.500
Br: 0.833 0.667 0.670
Cs: 0.000 0.000 0.000
Cs: 0.667 0.333 0.330
Br: 0.500 0.500 0.000
Br: 0.333 0.167 0.670
Br: 0.167 0.333 0.330
Br: 0.667 0.833 0.330
Cs: 0.333 0.667 0.670
Pb: 0.333 0.667 0.171
Pb: 0.667 0.333 0.829
Br: 0.500 0.000 0.000
Br: 0.167 0.833 0.330
Br: 0.000 0.500 0.000

=====

The following is a DFT calculation (GGA-PBE) of crystalline TlAg3 at its relaxed geometry.

Properties
calculated volume	163.51	Å³/cell
calculated formation energy	0.1405	eV per atom
size of the total moment	0.000	μB per cell
ρ	10.72	g/cm³
final energy	-2.59	eV/atom
density of states at the Fermi level	0.5120	states/eV/atom

Lattice parameters (Å, degrees): 5.468 5.468 5.468 90.00 90.00 90.00
Positions (direct):
Tl: 0.000 0.000 0.000
Ag: 0.500 0.000 0.250
Tl: 0.500 0.500 0.500
Ag: 0.000 0.250 0.500
Ag: 0.750 0.500 0.000
Ag: 0.250 0.500 0.000
Ag: 0.500 0.000 0.750
Ag: 0.000 0.750 0.500

=====

The following is a DFT calculation (GGA-PBE) of crystalline Pu3PaGe5 at its relaxed geometry.

Properties
calculated volume	394.41	Å³/cell
calculated formation energy	-0.3828	eV per atom
size of the total moment	30.371	μB per cell
ρ	11.17	g/cm³
final energy	-8.78	eV/atom
density of states at the Fermi level	3.1993	states/eV/atom

Lattice parameters (Å, degrees): 6.012 8.704 8.704 120.00 90.00 90.00
Last column: magnetic moment on the atom in μB.
Positions (direct):
Pu: 0.250 0.000 0.622  5.03
Ge: 0.500 0.667 0.333  -0.04
Ge: 0.250 0.000 0.293  -0.04
Ge: 0.750 0.000 0.707  -0.04
Ge: 0.250 0.293 0.000  -0.04
Ge: 0.250 0.707 0.707  -0.04
Pu: 0.750 0.378 0.000  5.03
Pu: 0.250 0.622 0.000  5.03
Ge: 0.750 0.707 0.000  -0.04
Pa: 0.500 0.000 0.000  -0.21
Pa: 0.000 0.000 0.000  -0.21
Ge: 0.500 0.333 0.667  -0.04
Ge: 0.000 0.667 0.333  -0.04
Pu: 0.250 0.378 0.378  5.03
Pu: 0.750 0.622 0.622  5.03
Ge: 0.750 0.293 0.293  -0.04
Pu: 0.750 0.000 0.378  5.03
Ge: 0.000 0.333 0.667  -0.04

=====

The following is a DFT calculation (GGA-PBE) of crystalline ScRh2 at its relaxed geometry.

Properties
calculated volume	148.70	Å³/cell
calculated formation energy	-0.3800	eV per atom
size of the total moment	0.645	μB per cell
ρ	8.40	g/cm³
final energy	-7.39	eV/atom
density of states at the Fermi level	1.3905	states/eV/atom

Lattice parameters (Å, degrees): 6.527 6.527 4.030 90.00 90.00 120.00
Last column: magnetic moment on the atom in μB.
Positions (direct):
Rh: 0.573 0.000 0.500  0.14
Sc: 0.333 0.667 0.000  -0.02
Rh: 0.000 0.246 0.000  0.10
Rh: 0.754 0.754 0.000  0.10
Rh: 0.246 0.000 0.000  0.10
Sc: 0.000 0.000 0.500  -0.01
Sc: 0.667 0.333 0.000  -0.02
Rh: 0.427 0.427 0.500  0.14
Rh: 0.000 0.573 0.500  0.14

=====

The following is a DFT calculation (GGA-PBE) of crystalline Nb3HRu at its relaxed geometry.

Properties
calculated volume	71.49	Å³/cell
size of the total moment	0.000	μB per cell
ρ	8.85	g/cm³
final energy	-8.55	eV/atom
density of states at the Fermi level	0.9883	states/eV/atom

Lattice parameters (Å, degrees): 4.150 4.150 4.150 90.00 90.00 90.00
Positions (direct):
H: 0.000 0.000 0.000
Nb: 0.500 0.000 0.000
Nb: 0.000 0.500 0.000
Nb: 0.000 0.000 0.500
Ru: 0.500 0.500 0.500

=====

The following is a DFT calculation (GGA-PBE) of crystalline Ac3GeBr at its relaxed geometry.

Properties
calculated volume	385.77	Å³/cell
size of the total moment	1.378	μB per cell
ΔE_f (raw)	-0.75	eV per atom
ρ	7.18	g/cm³
final energy	-4.47	eV/atom
density of states at the Fermi level	0.8963	states/eV/atom

Lattice parameters (Å, degrees): 4.474 7.974 11.277 73.51 90.58 89.96
Last column: magnetic moment on the atom in μB.
Positions (direct):
Ac: 0.357 0.110 0.082  0.12
Ge: 0.367 0.793 0.619  0.02
Ac: 0.870 0.486 0.743  0.05
Br: 0.357 0.666 0.257  0.01
Ac: 0.851 0.551 0.085  0.14
Ge: 0.860 0.177 0.264  0.00
Ac: 0.871 0.935 0.762  0.05
Ac: 0.862 0.791 0.422  0.00
Br: 0.372 0.202 0.780  0.01
Ac: 0.364 0.231 0.451  -0.01